[1]
{
  "formula": "PuVN4",
  "functional": "GGA-PBE",
  "state": "optimized geometry",
  "lattice": [[4.763, 0.000, 0.000], [0.000, 5.003, 0.000], [0.000, 0.000, 5.946]],
  "species": ["V", "V", "N", "N", "N", "N", "N", "N", "N", "N", "Pu", "Pu"],
  "fractional_positions": [[0.500, 0.000, 0.309], [0.000, 0.000, 0.809], [0.255, 0.838, 0.624], [0.220, 0.310, 0.894], [0.280, 0.310, 0.394], [0.780, 0.690, 0.894], [0.745, 0.162, 0.624], [0.245, 0.838, 0.124], [0.755, 0.162, 0.124], [0.720, 0.690, 0.394], [0.500, 0.500, 0.654], [0.000, 0.500, 0.154]],
  "dft_energy_ev_per_cell": -116.63,
  "volume_a3_per_atom": 11.81
}

=====

[2]
{
  "formula": "PuVN",
  "functional": "GGA-PBE",
  "state": "optimized geometry",
  "lattice": [[3.072, 0.000, 0.000], [-1.536, 2.661, 0.000], [0.000, 0.000, 5.415]],
  "species": ["N", "Pu", "V"],
  "fractional_positions": [[0.000, 0.000, 0.957], [0.667, 0.333, 0.259], [0.333, 0.667, 0.784]],
  "dft_energy_ev_per_cell": -33.41,
  "volume_a3_per_atom": 14.76
}

=====

[3]
{
  "formula": "PuVN",
  "functional": "GGA-PBE",
  "state": "optimized geometry",
  "lattice": [[2.811, 0.000, 0.000], [0.000, 2.811, 0.000], [-1.406, -1.406, 5.605]],
  "species": ["V", "N", "Pu"],
  "fractional_positions": [[0.273, 0.273, 0.546], [0.745, 0.745, 0.491], [0.982, 0.982, 0.963]],
  "dft_energy_ev_per_cell": -32.93,
  "volume_a3_per_atom": 14.76
}

=====

[4]
{
  "formula": "YPu2VN4",
  "functional": "GGA-PBE",
  "state": "optimized geometry",
  "lattice": [[-3.252, 0.738, -0.149], [0.378, -5.355, 2.619], [0.708, 5.268, 10.670]],
  "species": ["Y", "Y", "N", "N", "N", "N", "N", "N", "N", "N", "Pu", "Pu", "Pu", "Pu", "V", "V"],
  "fractional_positions": [[0.098, 0.197, 0.750], [0.902, 0.803, 0.250], [0.439, 0.879, 0.750], [0.731, 0.462, 0.870], [0.000, 0.000, 0.500], [0.561, 0.121, 0.250], [0.731, 0.462, 0.630], [0.269, 0.538, 0.130], [0.000, 0.000, 0.000], [0.269, 0.538, 0.370], [0.367, 0.735, 0.956], [0.367, 0.735, 0.544], [0.633, 0.265, 0.044], [0.633, 0.265, 0.456], [0.835, 0.669, 0.750], [0.165, 0.331, 0.250]],
  "dft_energy_ev_per_cell": -173.29,
  "volume_a3_per_atom": 14.26
}

=====

[5]
{
  "formula": "Pu2W3N8",
  "functional": "GGA-PBE",
  "state": "optimized geometry",
  "lattice": [[5.111, 0.000, -0.028], [0.000, 6.311, 0.000], [-2.069, -3.155, 5.295]],
  "species": ["W", "W", "W", "N", "N", "N", "N", "N", "N", "N", "N", "Pu", "Pu"],
  "fractional_positions": [[0.000, 0.276, 0.000], [0.500, 0.000, 0.000], [0.000, 0.724, 0.000], [0.916, 0.104, 0.209], [0.408, 0.332, 0.228], [0.592, 0.105, 0.772], [0.926, 0.604, 0.208], [0.408, 0.895, 0.228], [0.084, 0.896, 0.791], [0.592, 0.668, 0.772], [0.074, 0.396, 0.792], [0.340, 0.265, 0.530], [0.660, 0.735, 0.470]],
  "dft_energy_ev_per_cell": -142.03,
  "volume_a3_per_atom": 13.11
}

=====

[6]
{
  "formula": "Pu3WN6",
  "functional": "GGA-PBE",
  "state": "optimized geometry",
  "lattice": [[-4.293, -1.287, -3.144], [-4.055, -0.684, 5.817], [-0.975, 6.898, -1.494]],
  "species": ["N", "N", "N", "N", "N", "N", "N", "N", "N", "N", "N", "N", "Pu", "Pu", "Pu", "Pu", "Pu", "Pu", "W", "W"],
  "fractional_positions": [[0.147, 0.086, 0.606], [0.147, 0.394, 0.914], [0.706, 0.340, 0.352], [0.706, 0.648, 0.660], [0.657, 0.218, 0.782], [0.752, 0.981, 0.019], [0.647, 0.914, 0.394], [0.647, 0.606, 0.086], [0.157, 0.782, 0.218], [0.252, 0.019, 0.981], [0.206, 0.660, 0.648], [0.206, 0.352, 0.340], [0.970, 0.686, 0.905], [0.470, 0.314, 0.095], [0.436, 0.394, 0.606], [0.470, 0.905, 0.686], [0.970, 0.095, 0.314], [0.936, 0.606, 0.394], [0.993, 0.156, 0.844], [0.493, 0.844, 0.156]],
  "dft_energy_ev_per_cell": -231.61,
  "volume_a3_per_atom": 13.65
}

=====

[7]
{
  "formula": "PuWN4",
  "functional": "GGA-PBE",
  "state": "optimized geometry",
  "lattice": [[-0.206, 4.832, -0.608], [0.184, -0.723, -5.806], [-5.394, 0.019, 1.978]],
  "species": ["N", "N", "N", "N", "N", "N", "N", "N", "Pu", "Pu", "W", "W"],
  "fractional_positions": [[0.318, 0.370, 0.666], [0.293, 0.820, 0.135], [0.207, 0.320, 0.135], [0.682, 0.630, 0.334], [0.707, 0.180, 0.865], [0.182, 0.870, 0.666], [0.793, 0.680, 0.865], [0.818, 0.130, 0.334], [0.000, 0.500, 0.500], [0.500, 0.000, 0.500], [0.000, 0.000, 0.000], [0.500, 0.500, 0.000]],
  "dft_energy_ev_per_cell": -124.84,
  "volume_a3_per_atom": 12.68
}

=====

[8]
{
  "formula": "PuW3N6",
  "functional": "GGA-PBE",
  "state": "optimized geometry",
  "lattice": [[3.035, 0.001, -0.001], [0.002, 8.506, -2.044], [-0.002, -0.699, 8.679]],
  "species": ["W", "W", "W", "W", "W", "W", "N", "N", "N", "N", "N", "N", "N", "N", "N", "N", "N", "N", "Pu", "Pu"],
  "fractional_positions": [[0.752, 0.085, 0.154], [0.252, 0.144, 0.551], [0.750, 0.512, 0.675], [0.748, 0.856, 0.449], [0.248, 0.915, 0.846], [0.250, 0.488, 0.325], [0.250, 0.533, 0.852], [0.251, 0.910, 0.088], [0.750, 0.264, 0.710], [0.751, 0.074, 0.381], [0.750, 0.615, 0.482], [0.749, 0.753, 0.794], [0.250, 0.385, 0.518], [0.249, 0.926, 0.619], [0.750, 0.467, 0.148], [0.749, 0.090, 0.912], [0.250, 0.736, 0.290], [0.251, 0.247, 0.206], [0.250, 0.304, 0.941], [0.750, 0.696, 0.059]],
  "dft_energy_ev_per_cell": -216.08,
  "volume_a3_per_atom": 10.98
}